(1)
A plane-wave DFT calculation with PBE was carried out for a geometry-optimized RbLaAu structure.

```
data_RbLaAu
_symmetry_space_group_name_H-M 'F -4 3 m'
_symmetry_Int_Tables_number 216
_symmetry_space_group_name_Hall 'F -4 2 3'
_cell_length_a 7.592
_cell_length_b 7.592
_cell_length_c 7.592
_cell_angle_alpha 90.00
_cell_angle_beta 90.00
_cell_angle_gamma 90.00
loop_
_atom_site_label
_atom_site_type_symbol
_atom_site_fract_x
_atom_site_fract_y
_atom_site_fract_z
Rb1 Rb 0.000 0.000 0.000
La1 La 0.000 0.000 0.500
Au1 Au 0.250 0.250 0.750
```

Values from the calculation:
* DFT total energy: -3.03 eV per atom
* theoretical density: 6.40 g/cm³

(2)
A plane-wave DFT calculation with PBE was carried out for a geometry-optimized RbLaAuSe3 structure.

```
data_RbLaAuSe3
_symmetry_space_group_name_H-M 'C m c m'
_symmetry_Int_Tables_number 63
_symmetry_space_group_name_Hall '-C 2c 2'
_cell_length_a 4.279
_cell_length_b 15.415
_cell_length_c 11.193
_cell_angle_alpha 90.00
_cell_angle_beta 90.00
_cell_angle_gamma 90.00
loop_
_atom_site_label
_atom_site_type_symbol
_atom_site_fract_x
_atom_site_fract_y
_atom_site_fract_z
Rb1 Rb 0.000 0.249 0.250
La1 La 0.000 0.500 0.000
Au1 Au 0.000 0.034 0.750
Se1 Se 0.000 0.132 0.560
Se2 Se 0.000 0.429 0.750
```

Values from the calculation:
* DFT total energy: -4.42 eV per atom
* theoretical density: 5.92 g/cm³

(3)
A plane-wave DFT calculation with PBE was carried out for a geometry-optimized LaSnAuSeS2 structure.

```
data_LaSnAuSeS2
_symmetry_space_group_name_H-M 'C m c m'
_symmetry_Int_Tables_number 63
_symmetry_space_group_name_Hall '-C 2c 2'
_cell_length_a 4.142
_cell_length_b 13.044
_cell_length_c 11.323
_cell_angle_alpha 90.00
_cell_angle_beta 90.00
_cell_angle_gamma 90.00
loop_
_atom_site_label
_atom_site_type_symbol
_atom_site_fract_x
_atom_site_fract_y
_atom_site_fract_z
La1 La 0.000 0.000 0.000
Sn1 Sn 0.000 0.237 0.250
Au1 Au 0.000 0.449 0.750
Se1 Se 0.000 0.096 0.750
S1 S 0.000 0.356 0.563
```

Values from the calculation:
* DFT total energy: -4.94 eV per atom
* theoretical density: 6.49 g/cm³

(4)
A plane-wave DFT calculation with PBE was carried out for a geometry-optimized SrLaAuSe2S structure.

```
data_SrLaAuSe2S
_symmetry_space_group_name_H-M 'C m c m'
_symmetry_Int_Tables_number 63
_symmetry_space_group_name_Hall '-C 2c 2'
_cell_length_a 4.228
_cell_length_b 13.795
_cell_length_c 10.796
_cell_angle_alpha 90.00
_cell_angle_beta 90.00
_cell_angle_gamma 90.00
loop_
_atom_site_label
_atom_site_type_symbol
_atom_site_fract_x
_atom_site_fract_y
_atom_site_fract_z
Sr1 Sr 0.000 0.242 0.250
La1 La 0.000 0.500 0.000
Au1 Au 0.000 0.028 0.750
Se1 Se 0.000 0.151 0.564
S1 S 0.000 0.417 0.750
```

Values from the calculation:
* DFT total energy: -5.06 eV per atom
* theoretical density: 6.47 g/cm³

(5)
A plane-wave DFT calculation with PBE was carried out for a geometry-optimized SrLaAuSeS2 structure.

```
data_SrLaAuSeS2
_symmetry_space_group_name_H-M 'C m c m'
_symmetry_Int_Tables_number 63
_symmetry_space_group_name_Hall '-C 2c 2'
_cell_length_a 4.140
_cell_length_b 13.796
_cell_length_c 11.021
_cell_angle_alpha 90.00
_cell_angle_beta 90.00
_cell_angle_gamma 90.00
loop_
_atom_site_label
_atom_site_type_symbol
_atom_site_fract_x
_atom_site_fract_y
_atom_site_fract_z
Sr1 Sr 0.000 0.232 0.250
La1 La 0.000 0.000 0.000
Au1 Au 0.000 0.475 0.750
Se1 Se 0.000 0.099 0.750
S1 S 0.000 0.362 0.572
```

Values from the calculation:
* DFT total energy: -5.17 eV per atom
* theoretical density: 5.98 g/cm³

(6)
A plane-wave DFT calculation with PBE was carried out for a geometry-optimized LaSm2AuS6 structure.

```
data_LaSm2AuS6
_symmetry_space_group_name_H-M 'P -1'
_symmetry_Int_Tables_number 2
_symmetry_space_group_name_Hall '-P 1'
_cell_length_a 4.530
_cell_length_b 6.785
_cell_length_c 8.340
_cell_angle_alpha 92.84
_cell_angle_beta 103.01
_cell_angle_gamma 95.59
loop_
_atom_site_label
_atom_site_type_symbol
_atom_site_fract_x
_atom_site_fract_y
_atom_site_fract_z
La1 La 0.000 0.000 0.000
Sm1 Sm 0.364 0.460 0.723
Au1 Au 0.000 0.000 0.500
S1 S 0.138 0.300 0.377
S2 S 0.171 0.801 0.303
S3 S 0.463 0.737 0.987
```

Values from the calculation:
* DFT total energy: -5.77 eV per atom
* theoretical density: 5.55 g/cm³

(7)
A plane-wave DFT calculation with PBE was carried out for a geometry-optimized LaSnTeAuS2 structure.

```
data_LaSnTeAuS2
_symmetry_space_group_name_H-M 'C m c m'
_symmetry_Int_Tables_number 63
_symmetry_space_group_name_Hall '-C 2c 2'
_cell_length_a 4.152
_cell_length_b 13.916
_cell_length_c 11.534
_cell_angle_alpha 90.00
_cell_angle_beta 90.00
_cell_angle_gamma 90.00
loop_
_atom_site_label
_atom_site_type_symbol
_atom_site_fract_x
_atom_site_fract_y
_atom_site_fract_z
La1 La 0.000 0.000 0.000
Sn1 Sn 0.000 0.199 0.250
Te1 Te 0.000 0.116 0.750
Au1 Au 0.000 0.481 0.750
S1 S 0.000 0.369 0.576
```

Values from the calculation:
* DFT total energy: -4.82 eV per atom
* theoretical density: 6.44 g/cm³

(8)
A plane-wave DFT calculation with PBE was carried out for a geometry-optimized SrLaTeAuS2 structure.

```
data_SrLaTeAuS2
_symmetry_space_group_name_H-M 'C m c m'
_symmetry_Int_Tables_number 63
_symmetry_space_group_name_Hall '-C 2c 2'
_cell_length_a 4.181
_cell_length_b 14.579
_cell_length_c 11.414
_cell_angle_alpha 90.00
_cell_angle_beta 90.00
_cell_angle_gamma 90.00
loop_
_atom_site_label
_atom_site_type_symbol
_atom_site_fract_x
_atom_site_fract_y
_atom_site_fract_z
Sr1 Sr 0.000 0.207 0.250
La1 La 0.000 0.000 0.000
Te1 Te 0.000 0.112 0.750
Au1 Au 0.000 0.485 0.750
S1 S 0.000 0.375 0.579
```

Values from the calculation:
* DFT total energy: -5.02 eV per atom
* theoretical density: 5.87 g/cm³

(9)
A plane-wave DFT calculation with PBE was carried out for a geometry-optimized La3Sb4Au3 structure.

```
data_La3Sb4Au3
_symmetry_space_group_name_H-M 'I -4 3 d'
_symmetry_Int_Tables_number 220
_symmetry_space_group_name_Hall 'I -4bd 2c 3'
_cell_length_a 10.199
_cell_length_b 10.199
_cell_length_c 10.199
_cell_angle_alpha 90.00
_cell_angle_beta 90.00
_cell_angle_gamma 90.00
loop_
_atom_site_label
_atom_site_type_symbol
_atom_site_fract_x
_atom_site_fract_y
_atom_site_fract_z
La1 La 0.000 0.250 0.875
Sb1 Sb 0.086 0.414 0.586
Au1 Au 0.000 0.250 0.375
```

Values from the calculation:
* DFT total energy: -5.07 eV per atom
* theoretical density: 9.36 g/cm³

(10)
A plane-wave DFT calculation with PBE was carried out for a geometry-optimized La2SnSbAu4 structure.

```
data_La2SnSbAu4
_symmetry_space_group_name_H-M 'P -3 m 1'
_symmetry_Int_Tables_number 164
_symmetry_space_group_name_Hall '-P 3 2"'
_cell_length_a 4.8554
_cell_length_b 4.8554
_cell_length_c 9.6338
_cell_angle_alpha 90.00
_cell_angle_beta 90.00
_cell_angle_gamma 120.00
loop_
_atom_site_label
_atom_site_type_symbol
_atom_site_fract_x
_atom_site_fract_y
_atom_site_fract_z
La1 La 0.3333 0.6667 0.2451
Sn1 Sn 0.0000 0.0000 0.5000
Sb1 Sb 0.0000 0.0000 0.0000
Au1 Au 0.3333 0.6667 0.5930
Au2 Au 0.3333 0.6667 0.8939
```

Values from the calculation:
* DFT total energy: -4.65 eV per atom
* theoretical density: 11.03 g/cm³

(11)
A plane-wave DFT calculation with PBE was carried out for a geometry-optimized LaScAu structure.

```
data_LaScAu
_symmetry_space_group_name_H-M 'P 4/n m m'
_symmetry_Int_Tables_number 129
_cell_length_a 4.695
_cell_length_b 4.695
_cell_length_c 7.181
_cell_angle_alpha 90.00
_cell_angle_beta 90.00
_cell_angle_gamma 90.00
loop_
_symmetry_equiv_pos_as_xyz
'x,y,z'
'-x,-y,-z'
'-y+1/2,x,z'
'y+1/2,-x,-z'
'-x+1/2,-y+1/2,z'
'x+1/2,y+1/2,-z'
'y,-x+1/2,z'
'-y,x+1/2,-z'
'x+1/2,-y,-z'
'-x+1/2,y,z'
'-y,-x,-z'
'y,x,z'
'-x,y+1/2,-z'
'x,-y+1/2,z'
'y+1/2,x+1/2,-z'
'-y+1/2,-x+1/2,z'
loop_
_atom_site_label
_atom_site_type_symbol
_atom_site_fract_x
_atom_site_fract_y
_atom_site_fract_z
La1 La 0.250 0.250 0.124
Sc1 Sc 0.250 0.750 0.500
Au1 Au 0.250 0.250 0.712
```

Values from the calculation:
* DFT total energy: -5.46 eV per atom
* theoretical density: 7.99 g/cm³
* formation enthalpy at 0 K: -0.620 eV/atom